No. 1
# Tb2GePt GGA-PBE relaxed
data_Tb2GePt
_cell_length_a 5.844
_cell_length_b 4.313
_cell_length_c 7.886
_cell_angle_alpha 90.00
_cell_angle_beta 110.47
_cell_angle_gamma 90.00
_symmetry_space_group_name_H-M 'P 1 21/m 1'
_symmetry_Int_Tables_number 11
loop_
_symmetry_equiv_pos_as_xyz
'x,y,z'
'-x,-y,-z'
'-x,y+1/2,-z'
'x,-y+1/2,z'
loop_
_atom_site_label
_atom_site_fract_x
_atom_site_fract_y
_atom_site_fract_z
Tb1 0.216 0.250 0.441
Tb2 0.226 0.250 0.915
Ge1 0.325 0.750 0.206
Pt1 0.345 0.750 0.710
# energy of formation = -1.078 eV per atom

---

No. 2
# KOs2W GGA-PBE relaxed
data_KOs2W
_cell_length_a 2.939
_cell_length_b 5.234
_cell_length_c 9.627
_cell_angle_alpha 90.00
_cell_angle_beta 90.00
_cell_angle_gamma 90.00
_symmetry_space_group_name_H-M 'I m m m'
_symmetry_Int_Tables_number 71
_symmetry_space_group_name_Hall '-I 2 2'
loop_
_atom_site_label
_atom_site_fract_x
_atom_site_fract_y
_atom_site_fract_z
K1 0.000 0.000 0.000
Os1 0.000 0.500 0.215
W1 0.000 0.000 0.500
# energy of formation = 1.370 eV per atom

---

So what do the calculations give for electronic total energy? Going down the list: -6.0572, -7.7575 eV per atom.